No. 1
Entry from Alexandria via LeMat-Bulk: MoP2W after structural relaxation (GGA-PBE).

Cell: 4.793 4.793 4.793 Å, 141.88 117.59 75.53°
Sites, in units of the cell vectors:
Mo  0.000  0.000  0.000
P  0.251  0.751  0.500
P  0.749  0.249  0.500
W  0.500  0.500  0.000

Values from the calculation:
As for the magnetization: 0.0 μB per formula unit. The formation energy comes out at 85 kJ/mol of formula units. For the density, the calculation gives 9.63 g/cm³.

---

No. 2
Entry from Alexandria via LeMat-Bulk: MoPW2 after structural relaxation (GGA-PBE).

Cell: 3.159 3.159 6.071 Å, 90.00 90.00 90.00°
Sites, in units of the cell vectors:
Mo  0.000  0.000  0.000
P  0.500  0.500  0.269
W  0.000  0.000  0.473
W  0.500  0.500  0.766

Values from the calculation:
As for the magnetization: 0.0 μB per formula unit. The formation energy comes out at 34 kJ/mol of formula units. For the density, the calculation gives 13.56 g/cm³.

---

No. 3
Entry from Alexandria via LeMat-Bulk: MoPW after structural relaxation (GGA-PBE).

Cell: 5.375 5.375 2.964 Å, 105.92 105.92 32.01°
Sites, in units of the cell vectors:
Mo  0.000  0.000  0.000
P  0.354  0.354  0.354
W  0.707  0.707  0.707

Values from the calculation:
As for the magnetization: 0.0 μB per formula unit. The formation energy comes out at -17 kJ/mol of formula units. For the density, the calculation gives 11.86 g/cm³.

---

No. 4
Entry from Alexandria via LeMat-Bulk: Mo3PW after structural relaxation (GGA-PBE).

Cell: 4.762 4.762 4.762 Å, 90.00 90.00 90.00°
Sites, in units of the cell vectors:
Mo  0.000  0.000  0.500
Mo  0.000  0.500  0.000
Mo  0.500  0.000  0.000
P  0.500  0.500  0.500
W  0.000  0.000  0.000

Values from the calculation:
As for the magnetization: 1.3 μB per formula unit. The formation energy comes out at 981 kJ/mol of formula units. For the density, the calculation gives 7.73 g/cm³.

---

No. 5
Entry from Alexandria via LeMat-Bulk: MoP2W after structural relaxation (GGA-PBE).

Cell: 7.699 7.699 7.699 Å, 22.72 22.72 22.72°
Sites, in units of the cell vectors:
Mo  0.000  0.000  0.000
P  0.492  0.492  0.492
P  0.742  0.742  0.742
W  0.235  0.235  0.235

Values from the calculation:
As for the magnetization: 0.0 μB per formula unit. The formation energy comes out at -30 kJ/mol of formula units. For the density, the calculation gives 9.50 g/cm³.

---

No. 6
Entry from Alexandria via LeMat-Bulk: Mo2PW after structural relaxation (GGA-PBE).

Cell: 5.166 5.166 5.166 Å, 138.49 138.49 60.15°
Sites, in units of the cell vectors:
Mo  0.000  0.000  0.000
Mo  0.750  0.250  0.500
P  0.250  0.750  0.500
W  0.500  0.500  0.000

Values from the calculation:
As for the magnetization: 0.0 μB per formula unit. The formation energy comes out at 54 kJ/mol of formula units. For the density, the calculation gives 11.27 g/cm³.

---

No. 7
Entry from Alexandria via LeMat-Bulk: MoP3W after structural relaxation (GGA-PBE).

Cell: 4.588 4.588 4.588 Å, 90.00 90.00 90.00°
Sites, in units of the cell vectors:
Mo  0.000  0.000  0.000
P  0.000  0.000  0.500
P  0.000  0.500  0.000
P  0.500  0.000  0.000
W  0.500  0.500  0.500

Values from the calculation:
As for the magnetization: 0.0 μB per formula unit. The formation energy comes out at 699 kJ/mol of formula units. For the density, the calculation gives 6.41 g/cm³.

---

No. 8
Entry from Alexandria via LeMat-Bulk: MoPW2 after structural relaxation (GGA-PBE).

Cell: 4.385 4.385 3.130 Å, 90.00 90.00 90.00°
Sites, in units of the cell vectors:
Mo  0.000  0.000  0.000
P  0.500  0.500  0.000
W  0.000  0.500  0.500
W  0.500  0.000  0.500

Values from the calculation:
As for the magnetization: 0.0 μB per formula unit. The formation energy comes out at 105 kJ/mol of formula units. For the density, the calculation gives 13.64 g/cm³.

---

No. 9
Entry from Alexandria via LeMat-Bulk: MoPW2 after structural relaxation (GGA-PBE).

Cell: 3.127 4.247 4.556 Å, 90.00 90.00 90.00°
Sites, in units of the cell vectors:
Mo  0.000  0.000  0.000
P  0.500  0.500  0.000
W  0.000  0.500  0.500
W  0.500  0.000  0.500

Values from the calculation:
As for the magnetization: 0.0 μB per formula unit. The formation energy comes out at 76 kJ/mol of formula units. For the density, the calculation gives 13.57 g/cm³.

---

No. 10
Entry from Alexandria via LeMat-Bulk: MoP2W after structural relaxation (GGA-PBE).

Cell: 3.012 3.012 6.023 Å, 90.00 90.00 90.00°
Sites, in units of the cell vectors:
Mo  0.000  0.000  0.000
P  0.500  0.500  0.251
P  0.500  0.500  0.749
W  0.000  0.000  0.500

Values from the calculation:
As for the magnetization: 0.0 μB per formula unit. The formation energy comes out at -88 kJ/mol of formula units. For the density, the calculation gives 10.39 g/cm³.

---

No. 11
Entry from Alexandria via LeMat-Bulk: MoP2W2 after structural relaxation (GGA-PBE).

Cell: 6.720 6.720 3.180 Å, 90.00 90.00 90.00°
Sites, in units of the cell vectors:
Mo  0.000  0.000  0.000
Mo  0.500  0.500  0.000
P  0.154  0.346  0.000
P  0.346  0.846  0.000
P  0.654  0.154  0.000
P  0.846  0.654  0.000
W  0.143  0.643  0.500
W  0.357  0.143  0.500
W  0.643  0.857  0.500
W  0.857  0.357  0.500

Values from the calculation:
As for the magnetization: 0.0 μB per formula unit. The formation energy comes out at -33 kJ/mol of formula units. For the density, the calculation gives 12.16 g/cm³.

---

No. 12
Entry from Alexandria via LeMat-Bulk: MoP2W after structural relaxation (GGA-PBE).

Cell: 4.660 4.660 4.660 Å, 130.05 130.05 73.32°
Sites, in units of the cell vectors:
Mo  0.000  0.000  0.000
P  0.250  0.750  0.500
P  0.500  0.500  0.000
W  0.750  0.250  0.500

Values from the calculation:
As for the magnetization: 0.0 μB per formula unit. The formation energy comes out at 92 kJ/mol of formula units. For the density, the calculation gives 9.80 g/cm³.